The following is a GGA-PBE calculation of a geometry-optimized Nd5Mg2Ni4 structure, from Alexandria.

M_tot (μB/f.u.): 0.0
VASP energy (eV/atom): -4.6869
E_form (eV per formula unit): -1.402
Space-group type: C2/m (12)

abc: 10.4371 10.4371 7.2264
angles: 108.50 108.50 21.05
Atoms (fractional coordinates):
Nd  0.0000  0.0000  0.0000
Nd  0.3327  0.3327  0.0742
Nd  0.3344  0.3344  0.5903
Nd  0.6656  0.6656  0.4097
Nd  0.6673  0.6673  0.9258
Mg  0.0700  0.0700  0.5825
Mg  0.9300  0.9300  0.4175
Ni  0.2114  0.2114  0.7129
Ni  0.4940  0.4940  0.6746
Ni  0.5060  0.5060  0.3254
Ni  0.7886  0.7886  0.2871

***

The following is a GGA-PBE calculation of a geometry-optimized Nd2Mg3Ni2 structure, from Alexandria.

M_tot (μB/f.u.): 0.0
VASP energy (eV/atom): -3.9185
E_form (eV per formula unit): -1.547
Space-group type: C2/m (12)

abc: 5.5971 5.5971 7.5023
angles: 96.19 96.19 41.82
Atoms (fractional coordinates):
Nd  0.1254  0.1254  0.3599
Nd  0.8746  0.8746  0.6401
Mg  0.1800  0.1800  0.8566
Mg  0.5000  0.5000  0.0000
Mg  0.8200  0.8200  0.1434
Ni  0.4195  0.4195  0.3611
Ni  0.5805  0.5805  0.6389

***

The following is a GGA-PBE calculation of a geometry-optimized Nd2MgNi structure, from Alexandria.

Distance to the lowest polymorph of the same formula (kcal/mol of atoms): 0.00
M_tot (μB/f.u.): 0.0
VASP energy (eV/atom): -4.3874
E_form (eV per formula unit): -0.638
Space-group type: P4/mmm (123)

abc: 3.5612 3.5612 8.0714
angles: 90.00 90.00 90.00
Atoms (fractional coordinates):
Nd  0.0000  0.0000  0.2060
Nd  0.0000  0.0000  0.7940
Mg  0.5000  0.5000  0.5000
Ni  0.5000  0.5000  0.0000

***

The following is a GGA-PBE calculation of a geometry-optimized Nd4Mg3Ni structure, from Alexandria.

M_tot (μB/f.u.): 0.0
VASP energy (eV/atom): -3.8286
E_form (eV per formula unit): -0.992
Space-group type: P4/mmm (123)

abc: 3.7238 3.7238 15.6821
angles: 90.00 90.00 90.00
Atoms (fractional coordinates):
Nd  0.0000  0.0000  0.1037
Nd  0.0000  0.0000  0.3697
Nd  0.0000  0.0000  0.6303
Nd  0.0000  0.0000  0.8963
Mg  0.5000  0.5000  0.2396
Mg  0.5000  0.5000  0.5000
Mg  0.5000  0.5000  0.7604
Ni  0.5000  0.5000  0.0000

***

The following is a GGA-PBE calculation of a geometry-optimized NdMg3Ni structure, from Alexandria.

Distance to the lowest polymorph of the same formula (kcal/mol of atoms): 2.55
M_tot (μB/f.u.): 0.0
VASP energy (eV/atom): -3.1312
E_form (eV per formula unit): -0.323
Space-group type: Pm-3m (221)

abc: 4.8633 4.8633 4.8633
angles: 90.00 90.00 90.00
Atoms (fractional coordinates):
Nd  0.0000  0.0000  0.0000
Mg  0.0000  0.5000  0.5000
Mg  0.5000  0.0000  0.5000
Mg  0.5000  0.5000  0.0000
Ni  0.5000  0.5000  0.5000

***

The following is a GGA-PBE calculation of a geometry-optimized NdMg7Ni5 structure, from Alexandria.

M_tot (μB/f.u.): 0.0
VASP energy (eV/atom): -3.6004
E_form (eV per formula unit): -1.969
Space-group type: Imm2 (44)

abc: 6.9893 6.9893 6.9893
angles: 135.36 98.77 97.82
Atoms (fractional coordinates):
Nd  0.0000  0.0000  0.0000
Mg  0.2468  0.5410  0.7058
Mg  0.2762  0.7762  0.5000
Mg  0.3599  0.3599  0.0000
Mg  0.4064  0.0657  0.3408
Mg  0.6828  0.6828  0.0000
Mg  0.7249  0.0657  0.6592
Mg  0.8352  0.5410  0.2942
Ni  0.0428  0.0455  0.4830
Ni  0.0428  0.5597  0.9973
Ni  0.5624  0.0455  0.0027
Ni  0.5624  0.5597  0.5170
Ni  0.8211  0.3211  0.5000

***

The following is a GGA-PBE calculation of a geometry-optimized Nd2MgNi structure, from Alexandria.

Distance to the lowest polymorph of the same formula (kcal/mol of atoms): 2.87
M_tot (μB/f.u.): 0.0
VASP energy (eV/atom): -4.2629
E_form (eV per formula unit): -0.140
Space-group type: Fm-3m (225)

abc: 5.2214 5.2214 5.2214
angles: 60.00 60.00 60.00
Atoms (fractional coordinates):
Nd  0.2500  0.2500  0.2500
Nd  0.7500  0.7500  0.7500
Mg  0.0000  0.0000  0.0000
Ni  0.5000  0.5000  0.5000

***

The following is a GGA-PBE calculation of a geometry-optimized NdMgNi structure, from Alexandria.

M_tot (μB/f.u.): 0.0
VASP energy (eV/atom): -4.1642
E_form (eV per formula unit): -0.349
Space-group type: F-43m (216)

abc: 4.6677 4.6677 4.6677
angles: 60.00 60.00 60.00
Atoms (fractional coordinates):
Nd  0.0000  0.0000  0.0000
Mg  0.5000  0.5000  0.5000
Ni  0.7500  0.7500  0.7500

***

The following is a GGA-PBE calculation of a geometry-optimized NdMg2Ni structure, from Alexandria.

M_tot (μB/f.u.): 0.0
VASP energy (eV/atom): -3.4871
E_form (eV per formula unit): -0.210
Space-group type: P4/mmm (123)

abc: 3.2407 3.2407 8.0815
angles: 90.00 90.00 90.00
Atoms (fractional coordinates):
Nd  0.0000  0.0000  0.0000
Mg  0.5000  0.5000  0.3223
Mg  0.5000  0.5000  0.6777
Ni  0.0000  0.0000  0.5000

***

The following is a GGA-PBE calculation of a geometry-optimized Nd8Mg2Ni structure, from Alexandria.

M_tot (μB/f.u.): 0.0
VASP energy (eV/atom): -4.2966
E_form (eV per formula unit): -0.150
Space-group type: C2/m (12)

abc: 9.3913 9.3913 7.1203
angles: 109.65 109.65 35.05
Atoms (fractional coordinates):
Nd  0.0107  0.0107  0.2772
Nd  0.1995  0.1995  0.7580
Nd  0.3552  0.3552  0.5695
Nd  0.4041  0.4041  0.0921
Nd  0.5959  0.5959  0.9079
Nd  0.6448  0.6448  0.4305
Nd  0.8005  0.8005  0.2420
Nd  0.9893  0.9893  0.7228
Mg  0.1809  0.1809  0.1961
Mg  0.8191  0.8191  0.8039
Ni  0.5000  0.5000  0.5000

***

The following is a GGA-PBE calculation of a geometry-optimized NdMgNi structure, from Alexandria.

M_tot (μB/f.u.): 0.0
VASP energy (eV/atom): -4.3024
E_form (eV per formula unit): -0.763
Space-group type: C2/m (12)

abc: 6.6451 6.6451 5.3148
angles: 100.16 100.16 36.45
Atoms (fractional coordinates):
Nd  0.1391  0.1391  0.3125
Nd  0.8609  0.8609  0.6875
Mg  0.4098  0.4098  0.2099
Mg  0.5902  0.5902  0.7901
Ni  0.2296  0.2296  0.8600
Ni  0.7704  0.7704  0.1400

***

The following is a GGA-PBE calculation of a geometry-optimized Nd4MgNi structure, from Alexandria.

Distance to the lowest polymorph of the same formula (kcal/mol of atoms): 5.32
M_tot (μB/f.u.): 0.0
VASP energy (eV/atom): -4.3368
E_form (eV per formula unit): 0.427
Space-group type: P2_1/c (14)

abc: 7.3402 7.7233 6.8123
angles: 90.00 96.59 90.00
Atoms (fractional coordinates):
Nd  0.1368  0.1743  0.1833
Nd  0.1368  0.3257  0.6833
Nd  0.3216  0.6382  0.0668
Nd  0.3216  0.8618  0.5668
Nd  0.6784  0.1382  0.4332
Nd  0.6784  0.3618  0.9332
Nd  0.8632  0.6743  0.3167
Nd  0.8632  0.8257  0.8167
Mg  0.5000  0.0000  0.0000
Mg  0.5000  0.5000  0.5000
Ni  0.0000  0.0000  0.5000
Ni  0.0000  0.5000  0.0000